Run 1
A PBEsol-optimized structure of LiYTa2. Source: Alexandria, functional SCAN. Values from VASP.

Calculated values
Size of the total moment ... 0.00 μB per formula unit
Space-group type ... I-42d, No. 122
DOS at the Fermi energy ... 8.262 states/eV/cell
Mass density ... 9.53 Mg/m³
Crystal system ... tetragonal

```
&SYSTEM
  ibrav = 0, nat = 8, ntyp = 3
/
ATOMIC_SPECIES
Y 88.91 Y.upf
Li 6.94 Li.upf
Ta 180.95 Ta.upf
CELL_PARAMETERS angstrom
3.8950 0.0000 0.0000
0.0000 3.8950 0.0000
-1.9475 -1.9475 10.5178
ATOMIC_POSITIONS angstrom
Y 0.0000 1.9475 5.2589
Y 0.0000 0.0000 0.0000
Li 1.9475 0.0000 5.2589
Li 1.9475 1.9475 0.0000
Ta 2.9120 2.9212 2.6294
Ta 0.9830 0.9737 2.6294
Ta -0.9737 0.9645 7.8883
Ta 0.9737 -0.9645 7.8883
```



Run 2
A PBEsol-optimized structure of LiYTa2. Source: Alexandria, functional SCAN. Values from VASP.

Calculated values
Size of the total moment ... 0.00 μB per formula unit
Space-group type ... F-43m, No. 216
DOS at the Fermi energy ... 2.688 states/eV/cell
Mass density ... 10.13 Mg/m³
Crystal system ... cubic

```
&SYSTEM
  ibrav = 0, nat = 4, ntyp = 3
/
ATOMIC_SPECIES
Li 6.94 Li.upf
Ta 180.95 Ta.upf
Y 88.91 Y.upf
CELL_PARAMETERS angstrom
-3.3582 -0.6984 3.2628
0.1910 -3.7994 2.8177
1.0212 0.5093 4.5944
ATOMIC_POSITIONS angstrom
Li 0.0000 0.0000 0.0000
Ta -0.5365 -0.9971 2.6687
Ta -1.0730 -1.9942 5.3374
Y -1.6095 -2.9913 8.0061
```



Run 3
A PBEsol-optimized structure of LiYTa2. Source: Alexandria, functional SCAN. Values from VASP.

Calculated values
Size of the total moment ... 0.00 μB per formula unit
Space-group type ... Cm, No. 8
DOS at the Fermi energy ... 2.664 states/eV/cell
Mass density ... 9.45 Mg/m³
Crystal system ... monoclinic

```
&SYSTEM
  ibrav = 0, nat = 4, ntyp = 3
/
ATOMIC_SPECIES
Li 6.94 Li.upf
Ta 180.95 Ta.upf
Y 88.91 Y.upf
CELL_PARAMETERS angstrom
2.9143 0.0000 0.0000
-1.4571 4.8259 -0.0115
0.0000 -0.5184 5.7177
ATOMIC_POSITIONS angstrom
Li 1.4571 2.2114 1.4017
Ta 0.0000 -0.4867 5.4723
Ta 0.0000 2.0850 4.6703
Y 0.0000 4.5462 2.7270
```



Result of the stability comparison: run 2 is the most stable of them.



Run 1
A PBEsol-optimized structure of LiYTa. Source: Alexandria, functional SCAN. Values from VASP.

Calculated values
Size of the total moment ... 0.00 μB per formula unit
Space-group type ... F-43m, No. 216
DOS at the Fermi energy ... 4.653 states/eV/cell
Mass density ... 7.12 Mg/m³
Crystal system ... cubic

```
&SYSTEM
  ibrav = 0, nat = 3, ntyp = 3
/
ATOMIC_SPECIES
Li 6.94 Li.upf
Ta 180.95 Ta.upf
Y 88.91 Y.upf
CELL_PARAMETERS angstrom
-0.2448 -1.7376 -4.1466
2.8147 -3.2916 -1.2315
-1.5534 -4.1834 -0.5999
ATOMIC_POSITIONS angstrom
Li 0.2541 -2.3032 -1.4945
Ta 0.0000 0.0000 0.0000
Y 0.5082 -4.6063 -2.9890
```



Run 2
A PBEsol-optimized structure of LiYTa. Source: Alexandria, functional SCAN. Values from VASP.

Calculated values
Size of the total moment ... 0.00 μB per formula unit
Space-group type ... P3m1, No. 156
DOS at the Fermi energy ... 2.298 states/eV/cell
Mass density ... 7.07 Mg/m³
Crystal system ... trigonal

```
&SYSTEM
  ibrav = 0, nat = 3, ntyp = 3
/
ATOMIC_SPECIES
Li 6.94 Li.upf
Ta 180.95 Ta.upf
Y 88.91 Y.upf
CELL_PARAMETERS angstrom
-0.9247 2.7123 -1.1187
-1.1516 -1.0418 2.6555
5.8441 3.6243 3.9563
ATOMIC_POSITIONS angstrom
Li 5.7185 3.5464 3.8712
Ta 2.8273 2.6302 4.0398
Y 1.0661 2.7425 1.5383
```



Result of the stability comparison: run 2 is the most stable of them.



Run 1
A PBEsol-optimized structure of LiTaZn. Source: Alexandria, functional SCAN. Values from VASP.

Calculated values
Size of the total moment ... 0.00 μB per formula unit
Space-group type ... Fmm2, No. 42
DOS at the Fermi energy ... 1.647 states/eV/cell
Mass density ... 8.88 Mg/m³
Crystal system ... orthorhombic

```
&SYSTEM
  ibrav = 0, nat = 3, ntyp = 3
/
ATOMIC_SPECIES
Li 6.94 Li.upf
Ta 180.95 Ta.upf
Zn 65.41 Zn.upf
CELL_PARAMETERS angstrom
-1.1941 -0.2829 -2.3591
2.5095 -0.8604 -0.1835
-2.7569 -5.9441 3.1151
ATOMIC_POSITIONS angstrom
Li -0.0335 -0.1040 0.0294
Ta -1.3814 -4.2877 1.2133
Zn -0.0266 -2.6956 -0.6703
```



Run 2
A PBEsol-optimized structure of LiTaZn. Source: Alexandria, functional SCAN. Values from VASP.

Calculated values
Size of the total moment ... 0.00 μB per formula unit
Space-group type ... F-43m, No. 216
DOS at the Fermi energy ... 0.557 states/eV/cell
Mass density ... 8.39 Mg/m³
Crystal system ... cubic

```
&SYSTEM
  ibrav = 0, nat = 3, ntyp = 3
/
ATOMIC_SPECIES
Li 6.94 Li.upf
Ta 180.95 Ta.upf
Zn 65.41 Zn.upf
CELL_PARAMETERS angstrom
4.1392 0.0000 0.0000
2.0696 3.5847 0.0000
2.0696 1.1949 3.3797
ATOMIC_POSITIONS angstrom
Li 0.0000 0.0000 0.0000
Ta 4.1392 2.3898 1.6898
Zn 2.0696 1.1949 0.8449
```



Result of the stability comparison: run 1 is the most stable of them.



Run 1
A PBEsol-optimized structure of LiTc2W. Source: Alexandria, functional SCAN. Values from VASP.

Calculated values
Size of the total moment ... 0.00 μB per formula unit
Space-group type ... Immm, No. 71
DOS at the Fermi energy ... 2.432 states/eV/cell
Mass density ... 11.51 Mg/m³
Crystal system ... orthorhombic

```
&SYSTEM
  ibrav = 0, nat = 4, ntyp = 3
/
ATOMIC_SPECIES
Li 6.94 Li.upf
Tc 98.00 Tc.upf
W 183.84 W.upf
CELL_PARAMETERS angstrom
-2.1781 -2.1071 -0.2339
1.5918 -2.0389 3.5442
-2.1994 4.3780 0.7902
ATOMIC_POSITIONS angstrom
Li 0.7959 -1.0194 1.7721
Tc -1.5782 -0.8846 2.9159
Tc -1.2074 1.1166 1.1846
W -1.0890 -1.0536 -0.1170
```



Run 2
A PBEsol-optimized structure of LiTc2W. Source: Alexandria, functional SCAN. Values from VASP.

Calculated values
Size of the total moment ... 0.00 μB per formula unit
Space-group type ... Fm-3m, No. 225
DOS at the Fermi energy ... 3.792 states/eV/cell
Mass density ... 11.71 Mg/m³
Crystal system ... cubic

```
&SYSTEM
  ibrav = 0, nat = 4, ntyp = 3
/
ATOMIC_SPECIES
Li 6.94 Li.upf
Tc 98.00 Tc.upf
W 183.84 W.upf
CELL_PARAMETERS angstrom
-2.1491 -3.0997 1.9892
2.1078 -2.9784 2.2067
-0.2162 -0.0504 4.2584
ATOMIC_POSITIONS angstrom
Li -0.1287 -3.0643 4.2272
Tc -0.0644 -1.5321 2.1136
Tc -0.1931 -4.5964 6.3407
W 0.0000 0.0000 0.0000
```



Result of the stability comparison: run 2 is the most stable of them.



Run 1
A PBEsol-optimized structure of LiTcW. Source: Alexandria, functional SCAN. Values from VASP.

Calculated values
Size of the total moment ... 0.00 μB per formula unit
Space-group type ... Fmm2, No. 42
DOS at the Fermi energy ... 1.872 states/eV/cell
Mass density ... 10.73 Mg/m³
Crystal system ... orthorhombic

```
&SYSTEM
  ibrav = 0, nat = 3, ntyp = 3
/
ATOMIC_SPECIES
Li 6.94 Li.upf
Tc 98.00 Tc.upf
W 183.84 W.upf
CELL_PARAMETERS angstrom
2.6339 -0.0012 0.0000
-0.9408 2.4602 0.0000
-0.8466 -1.2295 6.8975
ATOMIC_POSITIONS angstrom
Li 0.0000 0.0000 0.0481
Tc 0.8466 1.2295 2.3378
W 0.0000 0.0000 4.5116
```



Run 2
A PBEsol-optimized structure of LiTcW. Source: Alexandria, functional SCAN. Values from VASP.

Calculated values
Size of the total moment ... 0.00 μB per formula unit
Space-group type ... P3m1, No. 156
DOS at the Fermi energy ... 2.480 states/eV/cell
Mass density ... 10.64 Mg/m³
Crystal system ... trigonal

```
&SYSTEM
  ibrav = 0, nat = 3, ntyp = 3
/
ATOMIC_SPECIES
Li 6.94 Li.upf
Tc 98.00 Tc.upf
W 183.84 W.upf
CELL_PARAMETERS angstrom
2.7042 0.0000 0.0000
-1.3521 2.3419 0.0000
0.0000 0.0000 7.1172
ATOMIC_POSITIONS angstrom
Li 0.0000 0.0000 7.0753
Tc 1.3521 0.7806 4.7060
W 0.0000 1.5613 2.4531
```



Result of the stability comparison: run 1 is the most stable of them.



Run 1
A PBEsol-optimized structure of LiYTc2. Source: Alexandria, functional SCAN. Values from VASP.

Calculated values
Size of the total moment ... 0.00 μB per formula unit
Space-group type ... Immm, No. 71
DOS at the Fermi energy ... 2.722 states/eV/cell
Mass density ... 7.45 Mg/m³
Crystal system ... orthorhombic

```
&SYSTEM
  ibrav = 0, nat = 4, ntyp = 3
/
ATOMIC_SPECIES
Li 6.94 Li.upf
Tc 98.00 Tc.upf
Y 88.91 Y.upf
CELL_PARAMETERS angstrom
3.3743 0.0000 0.0000
0.0000 4.1256 0.0000
-1.6871 -2.0628 4.6747
ATOMIC_POSITIONS angstrom
Li 0.0000 2.0628 0.0000
Tc 1.6871 2.0628 2.3111
Tc 0.0000 0.0000 2.3636
Y 1.6871 0.0000 0.0000
```



Run 2
A PBEsol-optimized structure of LiYTc2. Source: Alexandria, functional SCAN. Values from VASP.

Calculated values
Size of the total moment ... 0.00 μB per formula unit
Space-group type ... F-43m, No. 216
DOS at the Fermi energy ... 2.544 states/eV/cell
Mass density ... 7.55 Mg/m³
Crystal system ... cubic

```
&SYSTEM
  ibrav = 0, nat = 4, ntyp = 3
/
ATOMIC_SPECIES
Li 6.94 Li.upf
Tc 98.00 Tc.upf
Y 88.91 Y.upf
CELL_PARAMETERS angstrom
4.4951 0.0000 0.0000
2.2475 3.8928 0.0000
2.2475 1.2976 3.6702
ATOMIC_POSITIONS angstrom
Li 4.4951 2.5952 1.8351
Tc 0.0000 0.0000 0.0000
Tc 2.2475 1.2976 0.9176
Y 6.7426 3.8928 2.7527
```



Result of the stability comparison: run 2 is the most stable of them.



Run 1
A PBEsol-optimized structure of LiZr2Tc. Source: Alexandria, functional SCAN. Values from VASP.

Calculated values
Size of the total moment ... 0.00 μB per formula unit
Space-group type ... Fm-3m, No. 225
DOS at the Fermi energy ... 3.089 states/eV/cell
Mass density ... 6.84 Mg/m³
Crystal system ... cubic

```
&SYSTEM
  ibrav = 0, nat = 4, ntyp = 3
/
ATOMIC_SPECIES
Tc 98.00 Tc.upf
Zr 91.22 Zr.upf
Li 6.94 Li.upf
CELL_PARAMETERS angstrom
-3.5601 -2.9225 -0.3821
-1.4357 -1.3595 -4.1776
0.7193 -4.3493 -1.3885
ATOMIC_POSITIONS angstrom
Tc -2.1383 -4.3157 -2.9741
Zr -3.2074 -6.4735 -4.4611
Zr -1.0691 -2.1578 -1.4870
Li 0.0000 0.0000 0.0000
```



Run 2
A PBEsol-optimized structure of LiZr2Tc. Source: Alexandria, functional SCAN. Values from VASP.

Calculated values
Size of the total moment ... 0.00 μB per formula unit
Space-group type ... P4/mmm, No. 123
DOS at the Fermi energy ... 2.839 states/eV/cell
Mass density ... 6.88 Mg/m³
Crystal system ... tetragonal

```
&SYSTEM
  ibrav = 0, nat = 4, ntyp = 3
/
ATOMIC_SPECIES
Tc 98.00 Tc.upf
Zr 91.22 Zr.upf
Li 6.94 Li.upf
CELL_PARAMETERS angstrom
-0.5387 -2.3398 2.2865
4.4891 -0.1999 0.8530
-0.4641 3.2344 3.2005
ATOMIC_POSITIONS angstrom
Tc 0.0000 0.0000 0.0000
Zr 1.9752 -1.2699 1.5698
Zr -0.5014 0.4473 2.7435
Li 2.0125 1.5172 2.0268
```



Result of the stability comparison: run 1 is the most stable of them.



Run 1
A PBEsol-optimized structure of Li2Te. Source: Alexandria, functional SCAN. Values from VASP.

Calculated values
Size of the total moment ... 0.00 μB per formula unit
Space-group type ... Fm-3m, No. 225
DOS at the Fermi energy ... 0.000 states/eV/cell
Mass density ... 3.51 Mg/m³
Crystal system ... cubic

```
&SYSTEM
  ibrav = 0, nat = 3, ntyp = 2
/
ATOMIC_SPECIES
Te 127.60 Te.upf
Li 6.94 Li.upf
CELL_PARAMETERS angstrom
4.5569 0.0000 0.0000
2.2785 3.9464 0.0000
2.2785 1.3155 3.7207
ATOMIC_POSITIONS angstrom
Te 0.0000 0.0000 0.0000
Li 2.2785 1.3155 0.9302
Li 6.8354 3.9464 2.7905
```



Run 2
A PBEsol-optimized structure of Li2Te. Source: Alexandria, functional SCAN. Values from VASP.

Calculated values
Size of the total moment ... 0.00 μB per formula unit
Space-group type ... P-3m1, No. 164
DOS at the Fermi energy ... 0.000 states/eV/cell
Mass density ... 3.08 Mg/m³
Crystal system ... trigonal

```
&SYSTEM
  ibrav = 0, nat = 3, ntyp = 2
/
ATOMIC_SPECIES
Te 127.60 Te.upf
Li 6.94 Li.upf
CELL_PARAMETERS angstrom
-0.6392 4.2372 1.1669
-3.1676 -3.0168 0.7677
1.7729 -0.8390 4.0179
ATOMIC_POSITIONS angstrom
Te 0.0000 0.0000 0.0000
Li -1.9690 -0.7672 1.7072
Li -0.0649 1.1486 4.2453
```



Result of the stability comparison: run 1 is the most stable of them.